# NdSm2Y3Ho6 | Alexandria via LeMat-Bulk | PBE | optimized geometry
data_NdSm2Y3Ho6
_chemical_formula_sum 'Nd2 Sm4 Y6 Ho12'
_cell_length_a 6.183
_cell_length_b 10.702
_cell_length_c 11.805
_cell_angle_alpha 90.00
_cell_angle_beta 100.01
_cell_angle_gamma 90.00
_space_group_name_H-M_alt 'C 1 2/m 1'
_space_group_IT_number 12
loop_
_space_group_symop_operation_xyz
'x,y,z'
'-x,-y,-z'
'-x,y,-z'
'x,-y,z'
'x+1/2,y+1/2,z'
'-x+1/2,-y+1/2,-z'
'-x+1/2,y+1/2,-z'
'x+1/2,-y+1/2,z'
loop_
_atom_site_label
_atom_site_type_symbol
_atom_site_fract_x
_atom_site_fract_y
_atom_site_fract_z
_atom_site_occupancy
Nd1 Nd 0.000 0.000 0.000 1
Sm1 Sm 0.000 0.333 0.000 1
Y1 Y 0.000 0.167 0.500 1
Y2 Y 0.000 0.500 0.500 1
Ho1 Ho 0.248 0.333 0.748 1
Ho2 Ho 0.249 0.000 0.748 1
# - DOS at the Fermi energy: 33.18 states/eV per cell
# - Size of the total moment: 0.00 μB/f.u.
# - Formation enthalpy at 0 K: 0.236 eV per formula unit


# RbPr2Mo2N6 | Alexandria via LeMat-Bulk | PBE | optimized geometry
data_RbPr2Mo2N6
_chemical_formula_sum 'Rb1 Pr2 Mo2 N6'
_cell_length_a 6.548
_cell_length_b 6.763
_cell_length_c 6.942
_cell_angle_alpha 93.13
_cell_angle_beta 116.44
_cell_angle_gamma 116.38
_space_group_name_H-M_alt 'P -1'
_space_group_IT_number 2
loop_
_space_group_symop_operation_xyz
'x,y,z'
'-x,-y,-z'
loop_
_atom_site_label
_atom_site_type_symbol
_atom_site_fract_x
_atom_site_fract_y
_atom_site_fract_z
_atom_site_occupancy
Rb1 Rb 0.000 0.000 0.000 1
Pr1 Pr 0.371 0.677 0.291 1
Mo1 Mo 0.232 0.673 0.687 1
N1 N 0.136 0.661 0.903 1
N2 N 0.287 0.907 0.560 1
N3 N 0.449 0.571 0.689 1
# - Formation energy from raw total energies: -488 meV/atom
# - DOS at the Fermi energy: 4.34 states/eV per cell
# - Size of the total moment: 1.03 μB/f.u.


# Zn3SeF | Alexandria via LeMat-Bulk | PBE | optimized geometry
data_Zn3SeF
_chemical_formula_sum 'Zn6 Se2 F2'
_cell_length_a 4.577
_cell_length_b 6.162
_cell_length_c 7.662
_cell_angle_alpha 101.95
_cell_angle_beta 107.20
_cell_angle_gamma 108.76
_space_group_name_H-M_alt 'P 1'
_space_group_IT_number 1
loop_
_space_group_symop_operation_xyz
'x,y,z'
loop_
_atom_site_label
_atom_site_type_symbol
_atom_site_fract_x
_atom_site_fract_y
_atom_site_fract_z
_atom_site_occupancy
Zn1 Zn 0.000 0.000 0.000 1
Zn2 Zn 0.030 0.004 0.602 1
Zn3 Zn 0.395 0.447 0.653 1
Zn4 Zn 0.457 0.959 0.397 1
Zn5 Zn 0.690 0.176 0.764 1
Zn6 Zn 0.862 0.365 0.129 1
Se1 Se 0.044 0.685 0.753 1
Se2 Se 0.836 0.770 0.213 1
F1 F 0.235 0.466 0.387 1
F2 F 0.495 0.165 0.206 1
# - Formation energy from raw total energies: -801 meV/atom
# - Energy above the most stable polymorph in this dataset: 7.8 meV per atom
# - Size of the total moment: 0.00 μB/f.u.


# Ca2Bi2Rh | Alexandria via LeMat-Bulk | PBE | optimized geometry
data_Ca2Bi2Rh
_chemical_formula_sum 'Ca4 Bi4 Rh2'
_cell_length_a 7.462
_cell_length_b 7.462
_cell_length_c 4.875
_cell_angle_alpha 90.00
_cell_angle_beta 90.00
_cell_angle_gamma 90.00
_space_group_name_H-M_alt 'P 4/m b m'
_space_group_IT_number 127
_space_group_name_Hall '-P 4 2ab'
loop_
_atom_site_label
_atom_site_type_symbol
_atom_site_fract_x
_atom_site_fract_y
_atom_site_fract_z
_atom_site_occupancy
Ca1 Ca 0.166 0.334 0.000 1
Bi1 Bi 0.152 0.652 0.500 1
Rh1 Rh 0.000 0.000 0.500 1
# - DOS at the Fermi energy: 6.40 states/eV per cell
# - Energy above the most stable polymorph in this dataset: 127.1 meV per atom
# - Size of the total moment: 0.00 μB/f.u.
# - Formation enthalpy at 0 K: -2.521 eV per formula unit


Ordered V results: 384.6 234.0 92.1 135.7; unit Å³/f.u..